[1]
Computed, not measured: Tl2TcPt after structural relaxation at the PBE level of DFT.

a = 4.744 Å, b = 4.744 Å, c = 4.744 Å
α = 60.00°, β = 60.00°, γ = 60.00°
Positions (direct):
1 Tl 0.250 0.250 0.250
2 Tl 0.750 0.750 0.750
3 Tc 0.000 0.000 0.000
4 Pt 0.500 0.500 0.500

Output
Symmetry: Fm-3m (225)



[2]
Computed, not measured: TlTc3Pt after structural relaxation at the PBE level of DFT.

a = 4.830 Å, b = 4.830 Å, c = 4.830 Å
α = 90.00°, β = 90.00°, γ = 90.00°
Positions (direct):
1 Tl 0.000 0.000 0.000
2 Tc 0.000 0.500 0.500
3 Tc 0.500 0.000 0.500
4 Tc 0.500 0.500 0.000
5 Pt 0.500 0.500 0.500

Output
Symmetry: Pm-3m (221)



[3]
Computed, not measured: Tl2TcPt after structural relaxation at the PBE level of DFT.

a = 9.124 Å, b = 9.124 Å, c = 9.124 Å
α = 19.95°, β = 19.95°, γ = 19.95°
Positions (direct):
1 Tl 0.250 0.250 0.250
2 Tl 0.750 0.750 0.750
3 Tc 0.000 0.000 0.000
4 Pt 0.500 0.500 0.500

Output
Symmetry: R-3m (166)



no.,total energy (eV for the cell shown),ΔE to the lowest computed polymorph (meV per atom),density (g/cm3)
1,-19.02,194.5,15.4
2,-30.71,0.0,10.2
3,-19.05,187.0,15.1